(1)
A PBEsol-optimized structure of Hf2MgBiSb. Source: Alexandria, functional meta-GGA SCAN.

Lattice parameters (Å, degrees): 5.366 5.366 5.741 90.00 90.00 90.00
Sites, in units of the cell vectors:
Hf1 0.000 0.500 0.000
Hf2 0.500 0.000 0.000
Mg1 0.000 0.000 0.500
Bi1 0.500 0.500 0.000
Sb1 0.500 0.500 0.500

The calculation puts the uncorrected formation energy at 6.414 eV/f.u. The density is 7.153 Mg/m³.

***

(2)
A PBEsol-optimized structure of SrHfMg2Bi. Source: Alexandria, functional meta-GGA SCAN.

Lattice parameters (Å, degrees): 5.525 5.525 5.561 90.00 90.00 90.00
Sites, in units of the cell vectors:
Sr1 0.000 0.000 0.000
Hf1 0.500 0.500 0.000
Mg1 0.000 0.500 0.500
Mg2 0.500 0.000 0.500
Bi1 0.500 0.500 0.500

The calculated formation energy is 0.5072 eV per atom. The density is 5.123 Mg/m³.

***

(3)
A PBEsol-optimized structure of HfMnBi2. Source: Alexandria, functional meta-GGA SCAN.

Lattice parameters (Å, degrees): 10.605 10.605 10.605 155.98 155.98 34.23
Sites, in units of the cell vectors:
Hf1 0.000 0.000 0.000
Hf2 0.750 0.250 0.500
Mn1 0.250 0.750 0.500
Mn2 0.500 0.500 0.000
Bi1 0.132 0.625 0.007
Bi2 0.375 0.382 0.507
Bi3 0.618 0.125 0.993
Bi4 0.875 0.868 0.493

The calculated formation energy is 0.3929 eV per atom. The density is 10.959 Mg/m³.

***

(4)
A PBEsol-optimized structure of NaHf2MnBi. Source: Alexandria, functional meta-GGA SCAN.

Lattice parameters (Å, degrees): 4.701 4.701 5.199 90.00 90.00 90.00
Sites, in units of the cell vectors:
Na1 0.000 0.000 0.000
Hf1 0.000 0.500 0.500
Hf2 0.500 0.000 0.500
Mn1 0.000 0.000 0.500
Bi1 0.500 0.500 0.000

The calculated formation energy is 0.4988 eV per atom. The density is 9.307 Mg/m³.

***

We obtain calculated volume values of 165 170 197 115 Å³/cell for the records listed above, in that order.